GGA-PBE Nb2NiCl, relaxed; energy relative to the elements, uncorrected = 0.24 eV/atom; offset from the most stable computed form = 0.00 eV/f.u.; final energy = -6.7053 eV/atom; symmetry = No. 225; D(E_F) = 6.1 states/eV/f.u.
1.0
0.000 3.130 3.130
3.130 0.000 3.130
3.130 3.130 0.000
Nb Ni Cl
2 1 1
direct
0.250 0.250 0.250
0.750 0.750 0.750
0.000 0.000 0.000
0.500 0.500 0.500

---

GGA-PBE PaCdGa2, relaxed; offset from the most stable computed form = 0.42 eV/f.u.; final energy = -4.1891 eV/atom; symmetry = No. 166; D(E_F) = 4.1 states/eV/f.u.
1.0
2.267 1.309 4.802
-2.267 1.309 4.802
0.000 -2.618 4.802
Pa Cd Ga
1 1 2
direct
0.000 0.000 0.000
0.500 0.500 0.500
0.235 0.235 0.235
0.765 0.765 0.765

---

GGA-PBE YSc3, relaxed; offset from the most stable computed form = 0.20 eV/f.u.; final energy = -6.2972 eV/atom; symmetry = No. 65; D(E_F) = 7.4 states/eV/f.u.
1.0
3.339 -4.691 0.000
3.339 4.691 0.000
0.000 0.000 3.358
Y Sc
1 3
direct
0.000 0.000 0.000
0.000 0.500 0.500
0.500 0.000 0.500
0.500 0.500 0.000

---

GGA-PBE MgRe2Br, relaxed; energy relative to the elements, uncorrected = 0.70 eV/atom; offset from the most stable computed form = 2.19 eV/f.u.; final energy = -6.3378 eV/atom; symmetry = No. 10; D(E_F) = 2.5 states/eV/f.u.
1.0
3.251 0.000 0.000
0.000 5.211 0.000
-0.391 0.000 4.444
Mg Re Br
1 2 1
direct
0.000 0.000 0.000
0.291 0.500 0.204
0.709 0.500 0.796
0.500 0.000 0.500